The following is a PBE calculation of NbNiIr after structural relaxation, from the Alexandria database.

```
NbNiIr
1.0
4.310 0.000 0.000
0.000 2.912 0.000
0.000 0.000 14.028
Ir Nb Ni
4 4 4
direct
0.000 0.000 0.960 Ir
0.000 0.500 0.460 Ir
0.000 0.000 0.282 Ir
0.000 0.500 0.782 Ir
0.500 0.500 0.339 Nb
0.500 0.000 0.839 Nb
0.000 0.000 0.621 Nb
0.000 0.500 0.121 Nb
0.500 0.500 0.005 Ni
0.500 0.500 0.664 Ni
0.500 0.000 0.164 Ni
0.500 0.000 0.505 Ni
```

Properties
The value obtained for the density of states at the Fermi level is 9.40 states/eV per cell. For the formation energy, the calculation gives -0.3458 eV/atom.

The following is a PBE calculation of NbNi2Ir2 after structural relaxation, from the Alexandria database.

```
NbNi2Ir2
1.0
7.055 0.000 0.000
0.000 7.055 0.000
0.000 0.000 2.787
Nb Ir Ni
2 4 4
direct
0.000 0.000 0.000 Nb
0.500 0.500 0.000 Nb
0.674 0.826 0.500 Ir
0.826 0.326 0.500 Ir
0.326 0.174 0.500 Ir
0.174 0.674 0.500 Ir
0.378 0.878 0.000 Ni
0.622 0.122 0.000 Ni
0.122 0.378 0.000 Ni
0.878 0.622 0.000 Ni
```

Properties
The value obtained for the density of states at the Fermi level is 11.04 states/eV per cell. As for the energy above the lowest structure with this stoichiometry: 0.00 eV/f.u. For the formation energy, the calculation gives -0.1277 eV/atom.

The following is a PBE calculation of NbNiIr after structural relaxation, from the Alexandria database.

```
NbNiIr
1.0
-2.502 -1.646 1.282
-0.767 -1.136 -2.955
4.118 -1.901 1.457
Nb Ni Ir
1 1 1
direct
0.663 0.663 0.326 Nb
0.005 0.005 0.011 Ni
0.332 0.332 0.663 Ir
```

Properties
The value obtained for the density of states at the Fermi level is 1.77 states/eV per cell. For the formation energy, the calculation gives -0.3146 eV/atom.

The following is a PBE calculation of NbNiIr after structural relaxation, from the Alexandria database.

```
NbNiIr
1.0
-3.589 3.290 2.341
-2.839 -2.695 -0.564
3.214 -4.717 6.370
Ir Ni Nb
4 4 4
direct
0.813 0.000 0.674 Ir
0.187 0.500 0.826 Ir
0.187 0.000 0.326 Ir
0.813 0.500 0.174 Ir
0.000 0.000 0.000 Ni
0.500 0.000 0.000 Ni
0.000 0.500 0.500 Ni
0.500 0.500 0.500 Ni
0.307 0.000 0.645 Nb
0.693 0.000 0.355 Nb
0.693 0.500 0.855 Nb
0.307 0.500 0.145 Nb
```

Properties
The value obtained for the density of states at the Fermi level is 8.15 states/eV per cell. For the formation energy, the calculation gives -0.3885 eV/atom.

The following is a PBE calculation of Nb3Ni8Ir2 after structural relaxation, from the Alexandria database.

```
Nb3Ni8Ir2
1.0
4.651 0.000 0.000
2.326 4.028 0.000
2.326 1.343 9.472
Ni Ir Nb
8 2 3
direct
0.230 0.733 0.305 Ni
0.733 0.733 0.305 Ni
0.267 0.770 0.695 Ni
0.267 0.267 0.695 Ni
0.726 0.726 0.821 Ni
0.733 0.230 0.305 Ni
0.274 0.274 0.179 Ni
0.770 0.267 0.695 Ni
0.640 0.640 0.079 Ir
0.360 0.360 0.921 Ir
0.813 0.813 0.561 Nb
0.187 0.187 0.439 Nb
0.000 0.000 0.000 Nb
```

Properties
The value obtained for the density of states at the Fermi level is 14.65 states/eV per cell. For the formation energy, the calculation gives -0.0341 eV/atom.

The following is a PBE calculation of NbNiIr after structural relaxation, from the Alexandria database.

```
NbNiIr
1.0
4.292 0.000 0.000
0.000 7.439 0.000
0.000 0.000 5.414
Ni Nb Ir
4 4 4
direct
0.750 0.916 0.750 Ni
0.250 0.084 0.250 Ni
0.250 0.416 0.750 Ni
0.750 0.584 0.250 Ni
0.750 0.583 0.750 Nb
0.250 0.417 0.250 Nb
0.250 0.083 0.750 Nb
0.750 0.917 0.250 Nb
0.750 0.250 0.500 Ir
0.250 0.750 0.500 Ir
0.250 0.750 0.000 Ir
0.750 0.250 0.000 Ir
```

Properties
The value obtained for the density of states at the Fermi level is 2.95 states/eV per cell. For the formation energy, the calculation gives -0.4038 eV/atom.

The following is a PBE calculation of NbNiIr after structural relaxation, from the Alexandria database.

```
NbNiIr
1.0
-5.047 2.920 4.570
-1.020 -2.615 0.544
7.764 -2.167 4.143
Ni Nb Ir
4 4 4
direct
0.843 0.000 0.170 Ni
0.843 0.500 0.670 Ni
0.157 0.500 0.330 Ni
0.157 0.000 0.830 Ni
0.000 0.500 0.000 Nb
0.000 0.000 0.500 Nb
0.500 0.500 0.000 Nb
0.500 0.000 0.500 Nb
0.674 0.500 0.333 Ir
0.674 0.000 0.833 Ir
0.326 0.000 0.167 Ir
0.326 0.500 0.667 Ir
```

Properties
The value obtained for the density of states at the Fermi level is 12.04 states/eV per cell. For the formation energy, the calculation gives -0.3106 eV/atom.

The following is a PBE calculation of NbNiIr after structural relaxation, from the Alexandria database.

```
NbNiIr
1.0
5.540 0.000 0.001
0.000 3.803 0.000
-2.617 0.000 8.307
Ir Nb Ni
4 4 4
direct
0.324 0.500 0.668 Ir
0.676 0.500 0.332 Ir
0.324 0.000 0.168 Ir
0.676 0.000 0.832 Ir
0.000 0.000 0.500 Nb
0.500 0.000 0.500 Nb
0.000 0.500 0.000 Nb
0.500 0.500 0.000 Nb
0.842 0.000 0.172 Ni
0.158 0.000 0.828 Ni
0.158 0.500 0.328 Ni
0.842 0.500 0.672 Ni
```

Properties
The value obtained for the density of states at the Fermi level is 12.87 states/eV per cell. For the formation energy, the calculation gives -0.3254 eV/atom.